# 1
! PuFeCo | the Alexandria database | PBE | optimized geometry; values from VASP
&SYSTEM
  ibrav = 0, nat = 12, ntyp = 3
/
ATOMIC_SPECIES
Pu 244.00 Pu.upf
Fe 55.84 Fe.upf
Co 58.93 Co.upf
ATOMIC_POSITIONS angstrom
Pu 0.000 0.000 1.934
Pu 0.000 0.000 9.537
Pu 2.006 2.006 3.801
Pu 2.006 2.006 7.670
Fe 0.000 0.000 4.280
Fe 0.000 0.000 7.191
Fe 2.006 2.006 1.455
Fe 2.006 2.006 10.016
Co 0.000 2.006 0.000
Co 0.000 2.006 5.736
Co 2.006 0.000 0.000
Co 2.006 0.000 5.736
CELL_PARAMETERS angstrom
4.012 0.000 0.000
0.000 4.012 0.000
0.000 0.000 11.471
! Size of the total moment   9.30 Bohr magnetons per cell
! Excess energy over the best structure of this formula in the dataset   147 meV per atom
! Energy relative to the elements   0.01 eV/atom

# 2
! Pu3Cd3Rh4 | the Alexandria database | PBE | optimized geometry; values from VASP
&SYSTEM
  ibrav = 0, nat = 10, ntyp = 3
/
ATOMIC_SPECIES
Pu 244.00 Pu.upf
Cd 112.41 Cd.upf
Rh 102.91 Rh.upf
ATOMIC_POSITIONS angstrom
Pu 0.000 0.000 0.000
Pu 0.000 -1.714 7.075
Pu 0.000 1.714 7.075
Cd 0.000 0.000 3.492
Cd 1.841 -2.530 4.371
Cd 1.841 2.530 4.371
Rh 1.841 -1.443 1.661
Rh 1.841 1.443 1.661
Rh 1.841 0.000 5.714
Rh 1.841 0.000 8.626
CELL_PARAMETERS angstrom
3.682 0.000 0.000
0.000 5.215 5.364
0.000 -5.215 5.364
! Size of the total moment   14.53 Bohr magnetons per cell
! Energy relative to the elements   -0.32 eV/atom

# 3
! MoSe2Br | the Alexandria database | PBE | optimized geometry; values from VASP
&SYSTEM
  ibrav = 0, nat = 12, ntyp = 3
/
ATOMIC_SPECIES
Mo 95.94 Mo.upf
Se 78.96 Se.upf
Br 79.90 Br.upf
ATOMIC_POSITIONS angstrom
Mo 0.000 0.000 0.000
Mo 0.000 1.844 20.291
Mo 1.597 0.922 10.145
Se 0.000 0.000 15.127
Se 0.000 0.000 22.026
Se 0.000 1.844 4.982
Se 0.000 1.844 11.881
Se 1.597 0.922 1.736
Se 1.597 0.922 25.272
Br 0.000 0.000 8.233
Br 0.000 1.844 28.523
Br 1.597 0.922 18.378
CELL_PARAMETERS angstrom
3.195 0.000 0.000
-1.597 2.767 0.000
0.000 0.000 30.436
! E_form (uncorrected)   0.016 eV/atom
! Size of the total moment   0.00 Bohr magnetons per cell
! Excess energy over the best structure of this formula in the dataset   298 meV per atom

# 4
! CaLaSb2Pd5 | the Alexandria database | PBE | optimized geometry; values from VASP
&SYSTEM
  ibrav = 0, nat = 9, ntyp = 4
/
ATOMIC_SPECIES
Ca 40.08 Ca.upf
La 138.91 La.upf
Sb 121.76 Sb.upf
Pd 106.42 Pd.upf
ATOMIC_POSITIONS angstrom
Ca 0.000 0.000 0.000
La 0.000 0.000 4.344
Sb 2.337 2.337 2.907
Sb 2.337 2.337 5.780
Pd 0.000 2.337 1.779
Pd 0.000 2.337 6.909
Pd 2.337 0.000 1.779
Pd 2.337 0.000 6.909
Pd 2.337 2.337 0.000
CELL_PARAMETERS angstrom
4.674 0.000 0.000
0.000 4.674 0.000
0.000 0.000 8.687
! E_form (uncorrected)   -0.721 eV/atom
! Size of the total moment   0.00 Bohr magnetons per cell

# 5
! Sm7Y12Cd | the Alexandria database | PBE | optimized geometry; values from VASP
&SYSTEM
  ibrav = 0, nat = 20, ntyp = 3
/
ATOMIC_SPECIES
Sm 150.36 Sm.upf
Y 88.91 Y.upf
Cd 112.41 Cd.upf
ATOMIC_POSITIONS angstrom
Sm 0.000 0.000 0.000
Sm -1.876 -0.638 4.691
Sm 1.491 -1.306 4.691
Sm 0.385 1.944 4.691
Sm -0.385 -1.944 11.470
Sm -1.491 1.306 11.470
Sm 1.876 0.638 11.470
Y -0.643 -4.028 4.054
Y -3.167 2.571 4.054
Y -0.690 -3.034 7.238
Y -2.973 -0.919 8.923
Y -2.282 2.115 7.238
Y -3.810 -1.457 12.107
Y 3.810 1.457 4.054
Y 2.282 -2.115 8.923
Y 2.973 0.919 7.238
Y 0.690 3.034 8.923
Y 3.167 -2.571 12.107
Y 0.643 4.028 12.107
Cd 0.000 0.000 8.081
CELL_PARAMETERS angstrom
5.976 3.451 5.387
-5.976 3.451 5.387
0.000 -6.901 5.387
! Size of the total moment   0.00 Bohr magnetons per cell
! Energy relative to the elements   0.18 eV/atom

# 6
! AlGaRu2 | the Alexandria database | PBE | optimized geometry; values from VASP
&SYSTEM
  ibrav = 0, nat = 4, ntyp = 3
/
ATOMIC_SPECIES
Al 26.98 Al.upf
Ga 69.72 Ga.upf
Ru 101.07 Ru.upf
ATOMIC_POSITIONS angstrom
Al 0.000 0.000 0.000
Ga 2.134 2.134 0.000
Ru 0.000 2.134 1.507
Ru 2.134 0.000 1.507
CELL_PARAMETERS angstrom
4.268 0.000 0.000
0.000 4.268 0.000
0.000 0.000 3.015
! Size of the total moment   0.00 Bohr magnetons per cell
! Energy relative to the elements   -0.49 eV/atom